(1)
# PBE with a Hubbard U K2V8O21, optimized geometry
data_K2V8O21
_chemical_formula_sum 'K4 V16 O42'
_symmetry_space_group_name_H-M 'C 1 2/m 1'
_symmetry_Int_Tables_number 12
_cell_length_a 15.355
_cell_length_b 3.627
_cell_length_c 15.086
_cell_angle_alpha 90.00
_cell_angle_beta 91.34
_cell_angle_gamma 90.00
loop_
_symmetry_equiv_pos_as_xyz
'x,y,z'
'-x,-y,-z'
'-x,y,-z'
'x,-y,z'
'x+1/2,y+1/2,z'
'-x+1/2,-y+1/2,-z'
'-x+1/2,y+1/2,-z'
'x+1/2,-y+1/2,z'
loop_
_atom_site_label
_atom_site_type_symbol
_atom_site_fract_x
_atom_site_fract_y
_atom_site_fract_z
K1 K 0.029 0.000 0.311
V1 V 0.091 0.500 0.925
V2 V 0.169 0.500 0.521
V3 V 0.187 0.500 0.730
V4 V 0.189 0.000 0.071
O1 O 0.000 0.500 0.000
O2 O 0.044 0.500 0.826
O3 O 0.095 0.500 0.442
O4 O 0.113 0.500 0.622
O5 O 0.114 0.000 0.145
O6 O 0.117 0.000 0.953
O7 O 0.160 0.000 0.740
O8 O 0.195 0.500 0.034
O9 O 0.209 0.000 0.527
O10 O 0.211 0.500 0.860
O11 O 0.216 0.000 0.311
# E_tot ... -0.530 Ry/atom

=====

(2)
# PBE with a Hubbard U KV3O8, optimized geometry
data_KV3O8
_chemical_formula_sum 'K2 V6 O16'
_symmetry_space_group_name_H-M 'P 1 21/m 1'
_symmetry_Int_Tables_number 11
_cell_length_a 5.135
_cell_length_b 8.745
_cell_length_c 7.985
_cell_angle_alpha 90.00
_cell_angle_beta 101.24
_cell_angle_gamma 90.00
loop_
_symmetry_equiv_pos_as_xyz
'x,y,z'
'-x,-y,-z'
'-x,y+1/2,-z'
'x,-y+1/2,z'
loop_
_atom_site_label
_atom_site_type_symbol
_atom_site_fract_x
_atom_site_fract_y
_atom_site_fract_z
K1 K 0.018 0.250 0.450
V1 V 0.075 0.250 0.933
V2 V 0.458 0.558 0.181
O1 O 0.076 0.750 0.905
O2 O 0.135 0.605 0.217
O3 O 0.328 0.090 0.998
O4 O 0.393 0.250 0.748
O5 O 0.399 0.554 0.664
# E_tot ... -0.526 Ry/atom
# Energy above the most stable polymorph in this dataset ... 0 meV/atom